Density functional theory data (PBE+U) for Y2WO6 after structural relaxation.

Cell lengths 5.4133, 7.7306, 11.5028 Å; angles 75.56, 90.00, 90.00 degrees
Atoms (fractional coordinates):
1 O 0.5421 0.7903 0.7276
2 O 0.3612 0.4911 0.3854
3 O 0.3612 0.5089 0.1146
4 O 0.4675 0.8472 0.9304
5 O 0.1524 0.3649 0.9526
6 O 0.8476 0.3649 0.4526
7 O 0.6388 0.4911 0.8854
8 O 0.4579 0.2097 0.2724
9 O 0.9550 0.9393 0.8953
10 O 0.0186 0.7097 0.7721
11 O 0.0450 0.0607 0.1047
12 O 0.4579 0.7903 0.2276
13 O 0.8476 0.6351 0.0474
14 O 0.1524 0.6351 0.5474
15 O 0.0186 0.2903 0.7279
16 O 0.5325 0.8472 0.4304
17 O 0.6388 0.5089 0.6146
18 O 0.5421 0.2097 0.7724
19 O 0.5325 0.1528 0.0696
20 O 0.0450 0.9393 0.3953
21 O 0.9550 0.0607 0.6047
22 O 0.9814 0.7097 0.2721
23 O 0.4675 0.1528 0.5696
24 O 0.9814 0.2903 0.2279
25 Y 0.2600 0.0000 0.7500
26 Y 0.8151 0.2061 0.9221
27 Y 0.1849 0.7939 0.0779
28 Y 0.8151 0.7939 0.5779
29 Y 0.1849 0.2061 0.4221
30 Y 0.3162 0.5000 0.7500
31 Y 0.7400 0.0000 0.2500
32 Y 0.6838 0.5000 0.2500
33 W 0.2554 0.2763 0.1150
34 W 0.2554 0.7237 0.3850
35 W 0.7446 0.7237 0.8850
36 W 0.7446 0.2763 0.6150

Summary:
SG   P2/c
E above lowest polymorph   0.000 eV per formula unit
M_tot   0.0 μB/f.u.
D(E_F)   0.000 states/eV/cell